A plane-wave DFT calculation with PBE was carried out for an optimized crystal structure of TiCoCuSi.

Cell lengths 5.820, 5.820, 5.820 Å; angles 90.00, 90.00, 90.00 degrees
Space group F-43m (No. 216)
Unique sites:
Ti: 0.000 0.000 0.000 (multiplicity 4)
Co: 0.250 0.250 0.750 (multiplicity 4)
Cu: 0.250 0.250 0.250 (multiplicity 4)
Si: 0.000 0.000 0.500 (multiplicity 4)

Results
* E: -6.5726 eV/atom
* theoretical density: 6.68 g/cm3
* E_form (uncorrected): -0.443 eV per atom

***

A plane-wave DFT calculation with PBE was carried out for an optimized crystal structure of TiCo2CuSi.

Cell lengths 4.201, 4.201, 4.714 Å; angles 90.00, 90.00, 90.00 degrees
Space group P4/mmm (No. 123)
Unique sites:
Ti: 0.000 0.000 0.000 (multiplicity 1)
Co: 0.000 0.500 0.000 (multiplicity 2)
Cu: 0.500 0.500 0.500 (multiplicity 1)
Si: 0.000 0.000 0.500 (multiplicity 1)

Results
* E: -5.1932 eV/atom
* theoretical density: 5.14 g/cm3
* E_form (uncorrected): 1.132 eV per atom

***

A plane-wave DFT calculation with PBE was carried out for an optimized crystal structure of UCoCuSi2.

Cell lengths 3.947, 3.947, 9.681 Å; angles 90.00, 90.00, 90.00 degrees
Space group I-4m2 (No. 119)
Unique sites:
U: 0.000 0.000 0.000 (multiplicity 2)
Co: 0.000 0.500 0.250 (multiplicity 2)
Cu: 0.000 0.500 0.750 (multiplicity 2)
Si: 0.000 0.000 0.379 (multiplicity 4)

Results
* E: -7.0806 eV/atom
* theoretical density: 9.18 g/cm3
* E_form (uncorrected): -0.413 eV per atom

***

A plane-wave DFT calculation with PBE was carried out for an optimized crystal structure of ZrCoCuSi2.

Cell lengths 3.734, 3.734, 10.081 Å; angles 90.00, 90.00, 90.00 degrees
Space group I-4m2 (No. 119)
Unique sites:
Zr: 0.000 0.000 0.000 (multiplicity 2)
Co: 0.000 0.500 0.750 (multiplicity 2)
Cu: 0.000 0.500 0.250 (multiplicity 2)
Si: 0.000 0.000 0.384 (multiplicity 4)

Results
* E: -6.7342 eV/atom
* theoretical density: 6.38 g/cm3
* E_form (uncorrected): -0.615 eV per atom

***

A plane-wave DFT calculation with PBE was carried out for an optimized crystal structure of SmCo4Cu.

Cell lengths 6.977, 6.977, 6.977 Å; angles 90.00, 90.00, 90.00 degrees
Space group F-43m (No. 216)
Unique sites:
Sm: 0.000 0.000 0.000 (multiplicity 4)
Co: 0.124 0.124 0.376 (multiplicity 16)
Cu: 0.250 0.250 0.750 (multiplicity 4)

Results
* E: -6.1905 eV/atom
* theoretical density: 8.79 g/cm3
* relative energy among the computed polymorphs: 86 meV per atom

***

A plane-wave DFT calculation with PBE was carried out for an optimized crystal structure of SmCoCu.

Cell lengths 3.361, 3.361, 9.435 Å; angles 90.00, 90.00, 90.00 degrees
Space group I4mm (No. 107)
Unique sites:
Sm: 0.000 0.000 0.000 (multiplicity 2)
Co: 0.000 0.000 0.691 (multiplicity 2)
Cu: 0.000 0.000 0.297 (multiplicity 2)

Results
* E: -5.2144 eV/atom
* theoretical density: 8.50 g/cm3
* relative energy among the computed polymorphs: 160 meV per atom

***

A plane-wave DFT calculation with PBE was carried out for an optimized crystal structure of Sm4Co3Cu.

Cell lengths 4.010, 4.024, 10.786 Å; angles 90.00, 90.00, 90.00 degrees
Space group Pmm2 (No. 25)
Unique sites:
Sm: 0.000 0.000 0.000 (multiplicity 1)
Sm: 0.000 0.500 0.281 (multiplicity 1)
Sm: 0.500 0.000 0.493 (multiplicity 1)
Sm: 0.500 0.500 0.775 (multiplicity 1)
Co: 0.000 0.500 0.567 (multiplicity 1)
Co: 0.500 0.000 0.191 (multiplicity 1)
Co: 0.500 0.500 0.085 (multiplicity 1)
Cu: 0.000 0.000 0.701 (multiplicity 1)

Results
* E: -5.6545 eV/atom
* theoretical density: 8.03 g/cm3

***

A plane-wave DFT calculation with PBE was carried out for an optimized crystal structure of Sm5Co2Cu.

Cell lengths 7.679, 7.679, 13.143 Å; angles 90.00, 90.00, 90.00 degrees
Space group I4/mcm (No. 140)
Unique sites:
Sm: 0.000 0.000 0.000 (multiplicity 4)
Sm: 0.164 0.336 0.136 (multiplicity 16)
Co: 0.130 0.370 0.500 (multiplicity 8)
Cu: 0.000 0.000 0.250 (multiplicity 4)

Results
* E: -5.3410 eV/atom
* theoretical density: 8.00 g/cm3

***

A plane-wave DFT calculation with PBE was carried out for an optimized crystal structure of SmCo4Cu.

Cell lengths 4.9830, 4.9830, 3.9763 Å; angles 90.00, 90.00, 120.00 degrees
Space group P-6m2 (No. 187)
Unique sites:
Sm: 0.0000 0.0000 0.0000 (multiplicity 1)
Co: 0.5014 0.0027 0.5000 (multiplicity 3)
Co: 0.6667 0.3333 0.0000 (multiplicity 1)
Cu: 0.3333 0.6667 0.0000 (multiplicity 1)

Results
* E: -6.2763 eV/atom
* theoretical density: 8.73 g/cm3
* relative energy among the computed polymorphs: 0 meV per atom

***

A plane-wave DFT calculation with PBE was carried out for an optimized crystal structure of Sm12CoCu6.

Cell lengths 11.5529, 11.5529, 13.0978 Å; angles 90.00, 90.00, 120.00 degrees
Space group R-3 (No. 148, hexagonal axes)
Unique sites:
Sm: 0.0349 0.8381 0.3805 (multiplicity 18)
Sm: 0.0382 0.1959 0.8886 (multiplicity 18)
Co: 0.0000 0.0000 0.5000 (multiplicity 3)
Cu: 0.0048 0.3991 0.7542 (multiplicity 18)

Results
* E: -4.6636 eV/atom
* theoretical density: 7.39 g/cm3

***

A plane-wave DFT calculation with PBE was carried out for an optimized crystal structure of SmCoCu.

Cell lengths 8.055, 6.220, 4.515 Å; angles 90.00, 90.00, 90.00 degrees
Space group Ima2 (No. 46)
Unique sites:
Sm: 0.000 0.000 0.000 (multiplicity 4)
Co: 0.250 0.250 0.251 (multiplicity 4)
Cu: 0.250 0.614 0.001 (multiplicity 4)

Results
* E: -5.3652 eV/atom
* theoretical density: 8.01 g/cm3
* relative energy among the computed polymorphs: 9 meV per atom

***

A plane-wave DFT calculation with PBE was carried out for an optimized crystal structure of Sm8CoCu2.

Cell lengths 17.444, 5.139, 6.785 Å; angles 90.00, 103.61, 90.00 degrees
Space group C2/m (No. 12)
Unique sites:
Sm: 0.032 0.000 0.290 (multiplicity 4)
Sm: 0.088 0.500 0.939 (multiplicity 4)
Sm: 0.162 0.500 0.473 (multiplicity 4)
Sm: 0.201 0.000 0.830 (multiplicity 4)
Co: 0.000 0.500 0.500 (multiplicity 2)
Cu: 0.190 0.000 0.237 (multiplicity 4)

Results
* E: -4.8721 eV/atom
* theoretical density: 7.80 g/cm3

***

Copy entry 2 word for word.
A plane-wave DFT calculation with PBE was carried out for an optimized crystal structure of TiCo2CuSi.

Cell lengths 4.201, 4.201, 4.714 Å; angles 90.00, 90.00, 90.00 degrees
Space group P4/mmm (No. 123)
Unique sites:
Ti: 0.000 0.000 0.000 (multiplicity 1)
Co: 0.000 0.500 0.000 (multiplicity 2)
Cu: 0.500 0.500 0.500 (multiplicity 1)
Si: 0.000 0.000 0.500 (multiplicity 1)

Results
* E: -5.1932 eV/atom
* theoretical density: 5.14 g/cm3
* E_form (uncorrected): 1.132 eV per atom